# 1
# UNb2Re (PBE, relaxed)
# Energy of formation from the pure elements ... 0.0840 eV/atom
# Distance to the lowest polymorph of the same formula ... 0.00 eV per formula unit
data_UNb2Re
_chemical_formula_sum 'U4 Nb8 Re4'
_cell_length_a 6.601
_cell_length_b 6.601
_cell_length_c 6.601
_cell_angle_alpha 90.00
_cell_angle_beta 90.00
_cell_angle_gamma 90.00
_symmetry_space_group_name_H-M 'F m -3 m'
_symmetry_Int_Tables_number 225
_symmetry_space_group_name_Hall '-F 4 2 3'
loop_
_atom_site_label
_atom_site_type_symbol
_atom_site_fract_x
_atom_site_fract_y
_atom_site_fract_z
U1 U 0.000 0.000 0.000
Nb1 Nb 0.250 0.250 0.250
Re1 Re 0.000 0.000 0.500

=====

# 2
# UNbRe2 (PBE, relaxed)
# Energy of formation from the pure elements ... -0.0064 eV/atom
data_UNbRe2
_chemical_formula_sum 'U1 Nb1 Re2'
_cell_length_a 4.689
_cell_length_b 4.689
_cell_length_c 3.235
_cell_angle_alpha 90.00
_cell_angle_beta 90.00
_cell_angle_gamma 90.00
_symmetry_space_group_name_H-M 'P 4/m m m'
_symmetry_Int_Tables_number 123
_symmetry_space_group_name_Hall '-P 4 2'
loop_
_atom_site_label
_atom_site_type_symbol
_atom_site_fract_x
_atom_site_fract_y
_atom_site_fract_z
U1 U 0.000 0.000 0.000
Nb1 Nb 0.500 0.500 0.000
Re1 Re 0.000 0.500 0.500

=====

# 3
# UNb2Re (PBE, relaxed)
# Energy of formation from the pure elements ... 0.1442 eV/atom
# Distance to the lowest polymorph of the same formula ... 0.24 eV per formula unit
data_UNb2Re
_chemical_formula_sum 'U1 Nb2 Re1'
_cell_length_a 3.305
_cell_length_b 3.305
_cell_length_c 6.636
_cell_angle_alpha 90.00
_cell_angle_beta 90.00
_cell_angle_gamma 90.00
_symmetry_space_group_name_H-M 'P 4/m m m'
_symmetry_Int_Tables_number 123
_symmetry_space_group_name_Hall '-P 4 2'
loop_
_atom_site_label
_atom_site_type_symbol
_atom_site_fract_x
_atom_site_fract_y
_atom_site_fract_z
U1 U 0.000 0.000 0.000
Nb1 Nb 0.500 0.500 0.261
Re1 Re 0.000 0.000 0.500

=====

# 4
# UNbRe4 (PBE, relaxed)
# Energy of formation from the pure elements ... 0.0850 eV/atom
data_UNbRe4
_chemical_formula_sum 'U4 Nb4 Re16'
_cell_length_a 7.516
_cell_length_b 7.516
_cell_length_c 7.516
_cell_angle_alpha 90.00
_cell_angle_beta 90.00
_cell_angle_gamma 90.00
_symmetry_space_group_name_H-M 'F -4 3 m'
_symmetry_Int_Tables_number 216
_symmetry_space_group_name_Hall 'F -4 2 3'
loop_
_atom_site_label
_atom_site_type_symbol
_atom_site_fract_x
_atom_site_fract_y
_atom_site_fract_z
U1 U 0.000 0.000 0.000
Nb1 Nb 0.250 0.250 0.750
Re1 Re 0.124 0.124 0.376